[1]
Density functional theory data (PBE with a Hubbard U) for an optimized crystal structure of Mn2FeAsO6.

Summary:
Crystal system   triclinic
Space-group type   P1, No. 1

```
data_Mn2FeAsO6
_chemical_formula_sum 'Mn2 Fe1 As1 O6'
_cell_length_a 5.092
_cell_length_b 5.113
_cell_length_c 5.573
_cell_angle_alpha 62.97
_cell_angle_beta 63.25
_cell_angle_gamma 59.95
_symmetry_space_group_name_H-M 'P 1'
_symmetry_Int_Tables_number 1
loop_
_symmetry_equiv_pos_as_xyz
'x,y,z'
loop_
_atom_site_label
_atom_site_type_symbol
_atom_site_fract_x
_atom_site_fract_y
_atom_site_fract_z
Fe1 Fe 0.810 0.804 0.580
O1 O 0.117 0.391 0.778
O2 O 0.708 0.123 0.778
O3 O 0.593 0.207 0.231
O4 O 0.208 0.973 0.230
O5 O 0.389 0.710 0.781
O6 O 0.972 0.589 0.228
As1 As 0.325 0.326 0.022
Mn1 Mn 0.532 0.533 0.407
Mn2 Mn 0.008 0.006 0.980
```

***

[2]
Density functional theory data (PBE with a Hubbard U) for an optimized crystal structure of MnFe2AsO4.

Summary:
Crystal system   monoclinic
Space-group type   C2/c, No. 15

```
data_MnFe2AsO4
_chemical_formula_sum 'Mn2 Fe4 As2 O8'
_cell_length_a 6.096
_cell_length_b 6.096
_cell_length_c 7.034
_cell_angle_alpha 118.03
_cell_angle_beta 118.03
_cell_angle_gamma 92.73
_symmetry_space_group_name_H-M 'P 1'
_symmetry_Int_Tables_number 1
loop_
_symmetry_equiv_pos_as_xyz
'x,y,z'
loop_
_atom_site_label
_atom_site_type_symbol
_atom_site_fract_x
_atom_site_fract_y
_atom_site_fract_z
As1 As 0.500 0.500 0.500
As2 As 0.000 0.000 0.000
O1 O 0.745 0.256 0.516
O2 O 0.756 0.245 0.016
O3 O 0.255 0.744 0.484
O4 O 0.182 0.181 0.889
O5 O 0.319 0.318 0.611
O6 O 0.681 0.682 0.389
O7 O 0.244 0.755 0.984
O8 O 0.818 0.819 0.112
Mn1 Mn 0.000 0.500 0.500
Mn2 Mn 0.000 0.500 0.000
Fe1 Fe 0.500 0.500 0.000
Fe2 Fe 0.500 0.000 0.500
Fe3 Fe 0.000 0.000 0.500
Fe4 Fe 0.500 0.000 0.000
```

***

[3]
Density functional theory data (PBE with a Hubbard U) for an optimized crystal structure of MnFe2AsO6.

Summary:
Crystal system   trigonal
Space-group type   R3, No. 146

```
data_MnFe2AsO6
_chemical_formula_sum 'Mn1 Fe2 As1 O6'
_cell_length_a 5.237
_cell_length_b 5.237
_cell_length_c 5.485
_cell_angle_alpha 61.48
_cell_angle_beta 61.48
_cell_angle_gamma 60.01
_symmetry_space_group_name_H-M 'P 1'
_symmetry_Int_Tables_number 1
loop_
_symmetry_equiv_pos_as_xyz
'x,y,z'
loop_
_atom_site_label
_atom_site_type_symbol
_atom_site_fract_x
_atom_site_fract_y
_atom_site_fract_z
O1 O 0.406 0.689 0.768
O2 O 0.243 0.948 0.243
O3 O 0.566 0.243 0.243
O4 O 0.137 0.406 0.768
O5 O 0.948 0.566 0.243
O6 O 0.689 0.137 0.768
Fe1 Fe 0.019 0.019 0.942
Fe2 Fe 0.525 0.525 0.424
Mn1 Mn 0.807 0.807 0.580
As1 As 0.321 0.321 0.038
```

***

Listing energy for the structures above in their given order: -68.6, -104.2, -67.2 eV for the cell shown.